CaLaPt PBE-GGA optimized geometry; raw total energy = -5.003 eV/atom; formation energy = -0.680 eV per atom
1.0
4.760 0.000 0.000
0.000 3.724 0.000
0.000 0.000 10.455
La Ca Pt
2 2 2
direct
0.500 0.500 0.307 La
0.500 0.000 0.807 La
0.000 0.500 0.567 Ca
0.000 0.000 0.067 Ca
0.500 0.000 0.525 Pt
0.500 0.500 0.025 Pt

***

CaLaPt PBE-GGA optimized geometry; raw total energy = -5.095 eV/atom; formation energy = -0.772 eV per atom
1.0
-0.817 0.884 3.690
1.917 -3.741 1.321
5.257 2.202 -1.392
La Ca Pt
1 1 1
direct
0.784 0.500 0.085 La
0.520 0.000 0.561 Ca
0.248 0.000 0.014 Pt

***

Ca2LaPt2 PBE-GGA optimized geometry; raw total energy = -4.956 eV/atom; formation energy = -0.754 eV per atom
1.0
-1.914 -2.647 2.986
1.590 -3.544 -2.122
5.304 -2.864 4.142
Ca Pt La
2 2 1
direct
0.750 0.250 0.500 Ca
0.250 0.750 0.500 Ca
0.398 0.398 0.203 Pt
0.602 0.602 0.797 Pt
0.000 0.000 0.000 La

***

Ca2LaPt2 PBE-GGA optimized geometry; raw total energy = -5.086 eV/atom; formation energy = -0.883 eV per atom
1.0
4.518 0.000 0.000
0.000 5.678 -0.787
0.000 -3.054 11.386
La Ca Pt
2 4 4
direct
0.250 0.818 0.210 La
0.750 0.182 0.790 La
0.250 0.769 0.881 Ca
0.750 0.711 0.464 Ca
0.250 0.289 0.536 Ca
0.750 0.231 0.119 Ca
0.750 0.120 0.357 Pt
0.250 0.329 0.974 Pt
0.750 0.671 0.026 Pt
0.250 0.880 0.643 Pt

***

Ca2LaPt2 PBE-GGA optimized geometry; raw total energy = -4.675 eV/atom; formation energy = -0.473 eV per atom
1.0
5.211 0.000 0.000
0.000 5.211 0.000
2.605 2.605 5.048
Ca Pt La
2 2 1
direct
0.655 0.655 0.689 Ca
0.345 0.345 0.311 Ca
0.250 0.750 0.500 Pt
0.750 0.250 0.500 Pt
0.000 0.000 0.000 La

***

Ca2LaPt2 PBE-GGA optimized geometry; raw total energy = -5.062 eV/atom; formation energy = -0.859 eV per atom
1.0
-2.022 4.481 -5.825
-7.303 -0.551 2.112
0.479 3.586 2.592
Pt Ca La
4 4 2
direct
0.131 0.369 0.000 Pt
0.631 0.131 0.000 Pt
0.869 0.631 0.000 Pt
0.369 0.869 0.000 Pt
0.161 0.661 0.500 Ca
0.339 0.161 0.500 Ca
0.661 0.839 0.500 Ca
0.839 0.339 0.500 Ca
0.000 0.000 0.000 La
0.500 0.500 0.000 La

***

Ca2LaPt9 PBE-GGA optimized geometry; raw total energy = -6.136 eV/atom; formation energy = -0.861 eV per atom
1.0
5.220 0.000 1.554
2.379 4.646 1.554
0.035 0.022 9.427
Pt Ca La
9 2 1
direct
0.586 0.586 0.746 Pt
0.414 0.918 0.254 Pt
0.667 0.667 0.998 Pt
0.414 0.414 0.254 Pt
0.082 0.586 0.746 Pt
0.918 0.414 0.254 Pt
0.500 0.500 0.500 Pt
0.586 0.082 0.746 Pt
0.333 0.333 0.002 Pt
0.142 0.142 0.573 Ca
0.858 0.858 0.427 Ca
0.000 0.000 0.000 La

***

Ca2LaPt2 PBE-GGA optimized geometry; raw total energy = -5.126 eV/atom; formation energy = -0.924 eV per atom
1.0
4.456 0.000 0.000
0.000 5.697 -0.963
0.000 -1.662 11.380
Ca Pt La
4 4 2
direct
0.250 0.752 0.038 Ca
0.750 0.248 0.962 Ca
0.250 0.767 0.715 Ca
0.750 0.233 0.285 Ca
0.250 0.324 0.470 Pt
0.750 0.676 0.530 Pt
0.750 0.682 0.188 Pt
0.250 0.318 0.812 Pt
0.250 0.779 0.373 La
0.750 0.221 0.627 La

***

CaLa2Pt9 PBE-GGA optimized geometry; raw total energy = -6.390 eV/atom; formation energy = -0.872 eV per atom
1.0
-3.452 -4.009 -1.454
1.964 -4.890 -1.529
-0.833 -5.762 7.513
Pt Ca La
9 1 2
direct
0.920 0.415 0.251 Pt
0.585 0.585 0.749 Pt
0.332 0.332 0.003 Pt
0.415 0.415 0.251 Pt
0.415 0.920 0.251 Pt
0.080 0.585 0.749 Pt
0.585 0.080 0.749 Pt
0.668 0.668 0.997 Pt
0.500 0.500 0.500 Pt
0.000 0.000 0.000 Ca
0.862 0.862 0.414 La
0.138 0.138 0.586 La

***

CaLaPt3 PBE-GGA optimized geometry; raw total energy = -4.953 eV/atom; formation energy = 0.057 eV per atom
1.0
-4.813 1.165 0.888
-1.318 -4.775 -0.879
0.640 -1.074 4.874
Pt Ca La
3 1 1
direct
0.000 0.000 0.500 Pt
0.500 0.000 0.000 Pt
0.000 0.500 0.000 Pt
0.000 0.000 0.000 Ca
0.500 0.500 0.500 La

***

CaLa4Pt4 PBE-GGA optimized geometry; raw total energy = -6.140 eV/atom; formation energy = -1.043 eV per atom
1.0
5.508 0.000 2.208
2.707 6.719 1.223
0.255 -0.132 7.338
Pt La Ca
4 4 1
direct
0.104 0.599 0.194 Pt
0.703 0.194 0.401 Pt
0.297 0.806 0.599 Pt
0.896 0.401 0.806 Pt
0.603 0.584 0.209 La
0.397 0.416 0.791 La
0.188 0.209 0.416 La
0.812 0.791 0.584 La
0.000 0.000 0.000 Ca

***

CaLa2Pt2 PBE-GGA optimized geometry; raw total energy = -5.766 eV/atom; formation energy = -0.979 eV per atom
1.0
-7.828 0.219 1.941
-1.935 -1.957 -7.584
0.135 -3.978 0.992
Pt La Ca
4 4 2
direct
0.639 0.139 0.000 Pt
0.361 0.861 0.000 Pt
0.139 0.361 0.000 Pt
0.861 0.639 0.000 Pt
0.659 0.841 0.500 La
0.159 0.659 0.500 La
0.341 0.159 0.500 La
0.841 0.341 0.500 La
0.000 0.000 0.000 Ca
0.500 0.500 0.000 Ca

***

CaLa5Pt6 PBE-GGA optimized geometry; raw total energy = -6.322 eV/atom; formation energy = -1.082 eV per atom
1.0
-1.090 -4.953 1.014
2.584 -1.903 -6.518
7.763 -4.363 0.302
La Pt Ca
5 6 1
direct
0.343 0.843 0.314 La
0.331 0.330 0.339 La
0.657 0.157 0.686 La
0.669 0.670 0.661 La
0.000 0.500 0.000 La
0.171 0.428 0.657 Pt
0.500 0.269 0.000 Pt
0.171 0.915 0.657 Pt
0.500 0.731 0.000 Pt
0.829 0.085 0.343 Pt
0.829 0.572 0.343 Pt
0.000 0.000 0.000 Ca